[1]
First-principles (PBE-GGA) data for a geometry-optimized Cd3NO structure, as listed in Alexandria.

## Properties
Magnetization: 0.00 Bohr magnetons per cell
E_tot: -0.1039 hartree per atom
Formation energy from raw total energies: 0.38 eV per atom

CIF file:
```
data_Cd3NO
_space_group_name_H-M_alt 'P m -3 m'
_space_group_IT_number 221
_space_group_name_Hall '-P 4 2 3'
_cell_length_a 4.4808
_cell_length_b 4.4808
_cell_length_c 4.4808
_cell_angle_alpha 90.00
_cell_angle_beta 90.00
_cell_angle_gamma 90.00
loop_
_atom_site_label
_atom_site_fract_x
_atom_site_fract_y
_atom_site_fract_z
Cd1 0.0000 0.0000 0.5000
N1 0.0000 0.0000 0.0000
O1 0.5000 0.5000 0.5000
```

=====

[2]
First-principles (PBE-GGA) data for a geometry-optimized CdOsN2O structure, as listed in Alexandria.

## Properties
Magnetization: 0.01 Bohr magnetons per cell
E_tot: -0.2342 hartree per atom
Formation energy from raw total energies: 0.38 eV per atom

CIF file:
```
data_CdOsN2O
_space_group_name_H-M_alt 'P 4/m m m'
_space_group_IT_number 123
_space_group_name_Hall '-P 4 2'
_cell_length_a 3.7941
_cell_length_b 3.7941
_cell_length_c 4.3213
_cell_angle_alpha 90.00
_cell_angle_beta 90.00
_cell_angle_gamma 90.00
loop_
_atom_site_label
_atom_site_fract_x
_atom_site_fract_y
_atom_site_fract_z
Cd1 0.0000 0.0000 0.0000
Os1 0.5000 0.5000 0.5000
N1 0.0000 0.5000 0.5000
O1 0.5000 0.5000 0.0000
```